# Er2NpGeN5

An optimized crystal structure of Er2NpGeN5 (PBE, Alexandria).

Computed properties:
Calculated total energy, eV/cell: -309.879
Formation energy without anion corrections, meV per atom: -1018

Unit cell a=3.301 b=13.936 c=10.124 alpha=90.00 beta=90.00 gamma=90.00
Space group Cmc2_1 (No. 36)
One atom of each set of equivalent atoms:
Er: 0.000 0.112 0.000 [4 per cell]
Er: 0.000 0.127 0.589 [4 per cell]
Np: 0.000 0.215 0.305 [4 per cell]
Ge: 0.000 0.493 0.773 [4 per cell]
N: 0.000 0.050 0.353 [4 per cell]
N: 0.000 0.288 0.950 [4 per cell]
N: 0.000 0.301 0.664 [4 per cell]
N: 0.000 0.374 0.314 [4 per cell]
N: 0.000 0.498 0.089 [4 per cell]

***

# La7TbPm2

An optimized crystal structure of La7TbPm2 (PBE, Alexandria).

Computed properties:
Calculated formation energy, eV/atom: 0.56
Energy above the lowest structure with this stoichiometry, meV per atom: 248
Calculated total energy, eV/cell: -85.998

Unit cell a=9.013 b=16.332 c=5.637 alpha=90.00 beta=90.00 gamma=90.00
Space group Cmmm (No. 65)
One atom of each set of equivalent atoms:
La: 0.000 0.000 0.000 [2 per cell]
La: 0.000 0.260 0.500 [4 per cell]
La: 0.186 0.387 0.000 [8 per cell]
Tb: 0.000 0.500 0.500 [2 per cell]
Pm: 0.000 0.201 0.000 [4 per cell]

***

# CdInSb2

An optimized crystal structure of CdInSb2 (PBE, Alexandria).

Computed properties:
Calculated total energy, eV/cell: -34.393
Formation energy without anion corrections, meV per atom: 109

Unit cell a=3.4371 b=3.4371 c=31.8444 alpha=90.00 beta=90.00 gamma=120.00
Space group R-3m (No. 166, hexagonal axes)
One atom of each set of equivalent atoms:
Cd: 0.0000 0.0000 0.0000 [3 per cell]
In: 0.0000 0.0000 0.5000 [3 per cell]
Sb: 0.0000 0.0000 0.2572 [6 per cell]

***

# ErMg2Hg

An optimized crystal structure of ErMg2Hg (PBE, Alexandria).

Computed properties:
Calculated formation energy, eV/atom: -0.25
Energy above the lowest structure with this stoichiometry, meV per atom: 0
Calculated total energy, eV/cell: -18.115

Unit cell a=5.082 b=5.082 c=7.123 alpha=90.00 beta=90.00 gamma=90.00
Space group I-4m2 (No. 119)
One atom of each set of equivalent atoms:
Er: 0.000 0.000 0.000 [2 per cell]
Mg: 0.000 0.000 0.500 [2 per cell]
Mg: 0.000 0.500 0.250 [2 per cell]
Hg: 0.000 0.500 0.750 [2 per cell]

***

# SrGeC3

An optimized crystal structure of SrGeC3 (PBE, Alexandria).

Computed properties:
Calculated formation energy, eV/atom: 1.82
Energy above the lowest structure with this stoichiometry, meV per atom: 0
Calculated total energy, eV/cell: -24.853

Unit cell a=4.110 b=4.110 c=4.110 alpha=90.00 beta=90.00 gamma=90.00
Space group Pm-3m (No. 221)
One atom of each set of equivalent atoms:
Sr: 0.000 0.000 0.000 [1 per cell]
Ge: 0.500 0.500 0.500 [1 per cell]
C: 0.000 0.500 0.500 [3 per cell]

***

# TaTl2Si

An optimized crystal structure of TaTl2Si (PBE, Alexandria).

Computed properties:
Energy above the lowest structure with this stoichiometry, meV per atom: 629
Calculated total energy, eV/cell: -73.499
Formation energy without anion corrections, meV per atom: 908

Unit cell a=7.018 b=7.018 c=7.018 alpha=90.00 beta=90.00 gamma=90.00
Space group F-43m (No. 216)
One atom of each set of equivalent atoms:
Ta: 0.000 0.000 0.000 [4 per cell]
Tl: 0.000 0.000 0.500 [4 per cell]
Tl: 0.250 0.250 0.750 [4 per cell]
Si: 0.250 0.250 0.250 [4 per cell]

***

no.,density of states at the Fermi level (states/eV per cell)
1,17.1
2,35.5
3,3.4
4,3.7
5,2.3
6,9.0